# Cu2AsC, optimized geometry, DFT PBE
data_Cu2AsC
_space_group_name_H-M_alt 'F m -3 m'
_space_group_IT_number 225
_space_group_name_Hall '-F 4 2 3'
_cell_length_a 5.829
_cell_length_b 5.829
_cell_length_c 5.829
_cell_angle_alpha 90.00
_cell_angle_beta 90.00
_cell_angle_gamma 90.00
loop_
_atom_site_label
_atom_site_fract_x
_atom_site_fract_y
_atom_site_fract_z
Cu1 0.250 0.250 0.250
As1 0.000 0.000 0.000
C1 0.000 0.000 0.500
# **Spin magnetization**: 0.00 μB per cell
# **Total energy**: -4.32 eV per atom
# **Density of states at the Fermi level**: 0.3061 states/eV/atom
# **Distance to the lowest polymorph of the same formula**: 360 meV/atom
# **Formation energy**: 1.2005 eV/atom